Material: AlCuSi
Method: DFT, PBE
State: relaxed

Values from the calculation:
N(E_F) ... 2.248 states/eV per cell
Total moment ... 0.000 μB per formula unit
Formation energy without anion corrections ... 228 meV per atom

Geometry as CIF:
```
data_AlCuSi
_chemical_formula_sum 'Al2 Cu2 Si2'
_cell_length_a 3.9373
_cell_length_b 3.9373
_cell_length_c 7.2790
_cell_angle_alpha 90.00
_cell_angle_beta 90.00
_cell_angle_gamma 120.00
_symmetry_space_group_name_H-M 'P -6 m 2'
_symmetry_Int_Tables_number 187
_symmetry_space_group_name_Hall 'P -6 2'
loop_
_atom_site_label
_atom_site_type_symbol
_atom_site_fract_x
_atom_site_fract_y
_atom_site_fract_z
Al1 Al 0.0000 0.0000 0.1823
Cu1 Cu 0.3333 0.6667 0.0000
Cu2 Cu 0.3333 0.6667 0.5000
Si1 Si 0.6667 0.3333 0.3367
```